(1)
# AlCr2S

AlCr2S at its PBEsol-relaxed geometry (meta-GGA SCAN, the Alexandria database).

abc: 6.593 6.593 5.114
angles: 90.00 90.00 90.00
Space group I-42d (No. 122)
One atom of each set of equivalent atoms:
Al1 0.000 0.000 0.000 x4
Cr1 0.182 0.750 0.625 x8
S1 0.000 0.000 0.500 x4

Properties
ρ	4.9	Mg/m³
E_form (uncorrected)	0.110	eV/atom
crystal system	tetragonal
D(E_F)	8.32	states/eV/cell


(2)
# ErMoC2

ErMoC2 at its PBEsol-relaxed geometry (meta-GGA SCAN, the Alexandria database).

abc: 5.609 3.323 10.631
angles: 90.00 90.00 90.00
Space group Pnma (No. 62)
One atom of each set of equivalent atoms:
Er1 0.086 0.250 0.138 x4
Mo1 0.098 0.750 0.391 x4
C1 0.159 0.250 0.753 x4
C2 0.228 0.250 0.487 x4

Properties
ΔE_f	-369	meV/atom
ρ	9.6	Mg/m³
crystal system	orthorhombic
D(E_F)	5.07	states/eV/cell


(3)
# K2NaPdF6

K2NaPdF6 at its PBEsol-relaxed geometry (meta-GGA SCAN, the Alexandria database).

abc: 8.419 8.419 8.419
angles: 90.00 90.00 90.00
Space group Fm-3m (No. 225)
One atom of each set of equivalent atoms:
K1 0.250 0.250 0.250 x8
Na1 0.000 0.000 0.000 x4
Pd1 0.000 0.000 0.500 x4
F1 0.000 0.000 0.261 x24

Properties
ρ	3.6	Mg/m³
E_form (uncorrected)	-2.434	eV/atom
crystal system	cubic
D(E_F)	20.81	states/eV/cell


(4)
# BeAsIr2

BeAsIr2 at its PBEsol-relaxed geometry (meta-GGA SCAN, the Alexandria database).

abc: 5.572 7.996 2.836
angles: 90.00 120.03 90.00
Space group C2/m (No. 12)
One atom of each set of equivalent atoms:
Be1 0.000 0.000 0.000 x2
As1 0.000 0.500 0.000 x2
Ir1 0.250 0.250 0.000 x4

Properties
energy above the most stable polymorph in this dataset	256	meV/atom
ΔE_f	70	meV/atom
ρ	14.2	Mg/m³
crystal system	monoclinic
D(E_F)	3.93	states/eV/cell


(5)
# MgCdCuCl2

MgCdCuCl2 at its PBEsol-relaxed geometry (meta-GGA SCAN, the Alexandria database).

abc: 4.551 4.551 5.554
angles: 90.00 90.00 90.00
Space group P4/mmm (No. 123)
One atom of each set of equivalent atoms:
Mg1 0.000 0.000 0.000 x1
Cd1 0.500 0.500 0.000 x1
Cu1 0.500 0.500 0.500 x1
Cl1 0.000 0.500 0.500 x2

Properties
ρ	3.9	Mg/m³
E_form (uncorrected)	-0.255	eV/atom
crystal system	tetragonal
D(E_F)	1.28	states/eV/cell


(6)
# BaCdSbF

BaCdSbF at its PBEsol-relaxed geometry (meta-GGA SCAN, the Alexandria database).

abc: 4.572 4.572 9.674
angles: 90.00 90.00 90.00
Space group P4/nmm (No. 129, origin choice 2)
One atom of each set of equivalent atoms:
Ba1 0.250 0.250 0.143 x2
Cd1 0.250 0.750 0.500 x2
Sb1 0.250 0.250 0.687 x2
F1 0.250 0.750 0.000 x2

Properties
ρ	6.4	Mg/m³
E_form (uncorrected)	-1.956	eV/atom
crystal system	tetragonal
D(E_F)	0.11	states/eV/cell


(7)
# KBe2Cu

KBe2Cu at its PBEsol-relaxed geometry (meta-GGA SCAN, the Alexandria database).

abc: 3.867 3.867 4.631
angles: 90.00 90.00 90.00
Space group P4/mmm (No. 123)
One atom of each set of equivalent atoms:
K1 0.000 0.000 0.000 x1
Be1 0.000 0.500 0.500 x2
Cu1 0.500 0.500 0.000 x1

Properties
ΔE_f	1310	meV/atom
ρ	2.9	Mg/m³
crystal system	tetragonal
D(E_F)	1.40	states/eV/cell


(8)
# YGeW3

YGeW3 at its PBEsol-relaxed geometry (meta-GGA SCAN, the Alexandria database).

abc: 4.654 4.654 4.654
angles: 90.00 90.00 90.00
Space group Pm-3m (No. 221)
One atom of each set of equivalent atoms:
Y1 0.000 0.000 0.000 x1
Ge1 0.500 0.500 0.500 x1
W1 0.000 0.500 0.500 x3

Properties
ΔE_f	1265	meV/atom
ρ	11.7	Mg/m³
crystal system	cubic
D(E_F)	3.19	states/eV/cell


Among the records above, which one has the highest D(E_F)? K2NaPdF6


What is the ρ in the fifth record? 3.9 Mg/m³


Among the records above, which one has the lowest D(E_F)? BaCdSbF